(1)
! GGA-PBEsol BaTi3Ni, optimized geometry; values from VASP
! Total magnetization = 1.893 μB per cell
! Symmetry = Pm-3m (221)
! Total DFT energy (no corrections) = -22.7 eV per cell
&SYSTEM
  ibrav = 0, nat = 5, ntyp = 3
/
ATOMIC_SPECIES
Ni 58.69 Ni.upf
Ba 137.33 Ba.upf
Ti 47.87 Ti.upf
CELL_PARAMETERS angstrom
4.845 0.000 0.000
0.000 4.845 0.000
0.000 0.000 4.845
ATOMIC_POSITIONS crystal
Ni 0.500 0.500 0.500
Ba 0.000 0.000 0.000
Ti 0.000 0.500 0.000
Ti 0.000 0.000 0.500
Ti 0.500 0.000 0.000



(2)
! GGA-PBEsol BaTiNi3, optimized geometry; values from VASP
! Total magnetization = 2.306 μB per cell
! Symmetry = Pm-3m (221)
! Total DFT energy (no corrections) = -19.3 eV per cell
&SYSTEM
  ibrav = 0, nat = 5, ntyp = 3
/
ATOMIC_SPECIES
Ni 58.69 Ni.upf
Ba 137.33 Ba.upf
Ti 47.87 Ti.upf
CELL_PARAMETERS angstrom
-1.380 1.087 4.418
-3.961 -2.559 -0.608
2.239 -3.857 1.648
ATOMIC_POSITIONS crystal
Ni 0.000 0.500 0.000
Ni 0.000 0.000 0.500
Ni 0.500 0.000 0.000
Ba 0.000 0.000 0.000
Ti 0.500 0.500 0.500



(3)
! GGA-PBEsol BaTl2Ni, optimized geometry; values from VASP
! Total magnetization = 0.000 μB per cell
! Symmetry = C2/m (12)
! Total DFT energy (no corrections) = -12.3 eV per cell
&SYSTEM
  ibrav = 0, nat = 4, ntyp = 3
/
ATOMIC_SPECIES
Ba 137.33 Ba.upf
Ni 58.69 Ni.upf
Tl 204.38 Tl.upf
CELL_PARAMETERS angstrom
-1.202 -0.427 -3.771
-4.086 -1.785 1.585
0.264 6.671 1.222
ATOMIC_POSITIONS crystal
Ba 0.500 0.000 0.000
Ni 0.000 0.500 0.000
Tl 0.000 0.000 0.500
Tl 0.500 0.500 0.500



(4)
! GGA-PBEsol Ba2TlNi2, optimized geometry; values from VASP
! Total magnetization = 0.316 μB per cell
! Symmetry = I4/mmm (139)
! Total DFT energy (no corrections) = -18.6 eV per cell
&SYSTEM
  ibrav = 0, nat = 5, ntyp = 3
/
ATOMIC_SPECIES
Ni 58.69 Ni.upf
Tl 204.38 Tl.upf
Ba 137.33 Ba.upf
CELL_PARAMETERS angstrom
3.513 0.000 0.000
0.000 3.513 0.000
-1.756 -1.756 10.349
ATOMIC_POSITIONS crystal
Ni 0.250 0.750 0.500
Ni 0.750 0.250 0.500
Tl 0.000 0.000 0.000
Ba 0.371 0.371 0.743
Ba 0.629 0.629 0.257



(5)
! GGA-PBEsol BaNiW2, optimized geometry; values from VASP
! Excess energy over the best structure of this formula in the dataset = 0 meV per atom
! Total magnetization = 0.150 μB per cell
! Symmetry = P4/mmm (123)
! Total DFT energy (no corrections) = -30.1 eV per cell
&SYSTEM
  ibrav = 0, nat = 4, ntyp = 3
/
ATOMIC_SPECIES
Ba 137.33 Ba.upf
Ni 58.69 Ni.upf
W 183.84 W.upf
CELL_PARAMETERS angstrom
-2.686 0.176 2.693
-0.058 -3.803 0.190
3.789 0.130 3.772
ATOMIC_POSITIONS crystal
Ba 0.500 0.500 0.500
Ni 0.000 0.000 0.500
W 0.000 0.500 0.000
W 0.500 0.000 0.000



(6)
! GGA-PBEsol BaNiW2, optimized geometry; values from VASP
! Excess energy over the best structure of this formula in the dataset = 197 meV per atom
! Total magnetization = 0.002 μB per cell
! Symmetry = Fm-3m (225)
! Total DFT energy (no corrections) = -29.3 eV per cell
&SYSTEM
  ibrav = 0, nat = 4, ntyp = 3
/
ATOMIC_SPECIES
Ba 137.33 Ba.upf
Ni 58.69 Ni.upf
W 183.84 W.upf
CELL_PARAMETERS angstrom
-0.309 3.066 -3.395
0.351 -1.367 -4.362
-3.691 0.044 -2.720
ATOMIC_POSITIONS crystal
Ba 0.000 0.000 0.000
Ni 0.500 0.500 0.500
W 0.250 0.250 0.250
W 0.750 0.750 0.750



(7)
! GGA-PBEsol Ba4NiW, optimized geometry; values from VASP
! Total magnetization = 4.131 μB per cell
! Symmetry = F-43m (216)
! Total DFT energy (no corrections) = -18.6 eV per cell
&SYSTEM
  ibrav = 0, nat = 6, ntyp = 3
/
ATOMIC_SPECIES
Ba 137.33 Ba.upf
Ni 58.69 Ni.upf
W 183.84 W.upf
CELL_PARAMETERS angstrom
-1.736 2.051 6.111
-6.450 0.565 1.624
-2.746 -4.296 4.308
ATOMIC_POSITIONS crystal
Ba 0.375 0.375 0.375
Ba 0.375 0.375 0.875
Ba 0.875 0.375 0.375
Ba 0.375 0.875 0.375
Ni 0.750 0.750 0.750
W 0.000 0.000 0.000



(8)
! GGA-PBEsol Ba3NiW, optimized geometry; values from VASP
! Total magnetization = 4.582 μB per cell
! Symmetry = Pm-3m (221)
! Total DFT energy (no corrections) = -20.5 eV per cell
&SYSTEM
  ibrav = 0, nat = 5, ntyp = 3
/
ATOMIC_SPECIES
Ni 58.69 Ni.upf
Ba 137.33 Ba.upf
W 183.84 W.upf
CELL_PARAMETERS angstrom
5.721 0.000 0.000
0.000 5.721 0.000
0.000 0.000 5.721
ATOMIC_POSITIONS crystal
Ni 0.000 0.000 0.000
Ba 0.000 0.500 0.000
Ba 0.000 0.000 0.500
Ba 0.500 0.000 0.000
W 0.500 0.500 0.500



What did the fifth record say?
! GGA-PBEsol BaNiW2, optimized geometry; values from VASP
! Excess energy over the best structure of this formula in the dataset = 0 meV per atom
! Total magnetization = 0.150 μB per cell
! Symmetry = P4/mmm (123)
! Total DFT energy (no corrections) = -30.1 eV per cell
&SYSTEM
  ibrav = 0, nat = 4, ntyp = 3
/
ATOMIC_SPECIES
Ba 137.33 Ba.upf
Ni 58.69 Ni.upf
W 183.84 W.upf
CELL_PARAMETERS angstrom
-2.686 0.176 2.693
-0.058 -3.803 0.190
3.789 0.130 3.772
ATOMIC_POSITIONS crystal
Ba 0.500 0.500 0.500
Ni 0.000 0.000 0.500
W 0.000 0.500 0.000
W 0.500 0.000 0.000



Question: Which formula does entry 4 have?
Answer: Ba2TlNi2



Question: Look up the total magnetization of the fourth one.
Answer: 0.316 μB per cell



Question: Which value of total DFT energy (no corrections) does entry 4 give?
Answer: -18.6 eV per cell